1.
## YInP (PBE)

Data for YInP after structural relaxation.

Computed properties:
Energy relative to the elements: -728 meV per atom
DOS at the Fermi energy: 5.6 states/eV/cell
E_tot: -0.206 hartree per atom

abc: 7.5653 3.8208 9.9214
angles: 90.00 90.00 90.00
With the nearest neighbours (Å) after each atom.
Sites, in units of the cell vectors:
Y  0.0327  0.2500  0.1846  4 P 2.77-2.81
Y  0.4673  0.7500  0.6846  4 P 2.77-2.81
Y  0.5327  0.2500  0.3154  4 P 2.77-2.81
Y  0.9673  0.7500  0.8154  4 P 2.77-2.81
In  0.1606  0.2500  0.5134  3 P 2.75-3.07
In  0.3394  0.7500  0.0134  3 P 2.75-3.07
In  0.6606  0.2500  0.9866  3 P 2.75-3.07
In  0.8394  0.7500  0.4866  3 P 2.75-3.07
P  0.2287  0.2500  0.7859  3 In 2.75-3.07, 4 Y 2.77-2.81
P  0.2713  0.7500  0.2859  3 In 2.75-3.07, 4 Y 2.77-2.81
P  0.7287  0.2500  0.7141  3 In 2.75-3.07, 4 Y 2.77-2.81
P  0.7713  0.7500  0.2141  3 In 2.75-3.07, 4 Y 2.77-2.81



2.
## Tm2Ge3Pt5 (PBE)

Data for Tm2Ge3Pt5 after structural relaxation.

Computed properties:
Energy relative to the elements: -881 meV per atom
DOS at the Fermi energy: 5.6 states/eV/cell
E_tot: -0.227 hartree per atom

abc: 12.3204 12.3204 6.8395
angles: 90.00 90.00 160.11
With the nearest neighbours (Å) after each atom.
Sites, in units of the cell vectors:
Tm  0.0245  0.9755  0.5000  5 Ge 2.87-3.11, 8 Pt 2.96-3.21
Tm  0.3255  0.6745  0.4535  7 Pt 2.92-3.03, 4 Ge 3.25
Tm  0.6745  0.3255  0.9535  7 Pt 2.92-3.03, 4 Ge 3.25
Tm  0.9755  0.0245  0.0000  5 Ge 2.87-3.11, 8 Pt 2.96-3.21
Ge  0.1215  0.8785  0.2603  6 Pt 2.53-2.79
Ge  0.2749  0.7251  0.9042  5 Pt 2.43-2.67
Ge  0.4523  0.5477  0.2903  5 Pt 2.51-2.70
Ge  0.5477  0.4523  0.7903  5 Pt 2.51-2.70
Ge  0.7251  0.2749  0.4042  5 Pt 2.43-2.67
Ge  0.8785  0.1215  0.7603  6 Pt 2.53-2.79
Pt  0.0938  0.9062  0.8942  3 Ge 2.51-2.59
Pt  0.1927  0.8073  0.6453  3 Ge 2.67-2.81, 5 Pt 2.89-2.96
Pt  0.2248  0.7752  0.2127  4 Ge 2.43-2.53
Pt  0.3768  0.6232  0.0009  4 Ge 2.56-2.70, 1 Pt 2.86
Pt  0.4484  0.5516  0.6683  4 Ge 2.55-2.79
Pt  0.5516  0.4484  0.1683  4 Ge 2.55-2.79
Pt  0.6232  0.3768  0.5009  4 Ge 2.56-2.70, 1 Pt 2.86
Pt  0.7752  0.2248  0.7127  4 Ge 2.43-2.53
Pt  0.8073  0.1927  0.1453  3 Ge 2.67-2.81, 5 Pt 2.89-2.96
Pt  0.9062  0.0938  0.3942  3 Ge 2.51-2.59



Question: Which of these has the lowest E_tot?
Answer: Tm2Ge3Pt5



What did the second record say?
## Tm2Ge3Pt5 (PBE)

Data for Tm2Ge3Pt5 after structural relaxation.

Computed properties:
Energy relative to the elements: -881 meV per atom
DOS at the Fermi energy: 5.6 states/eV/cell
E_tot: -0.227 hartree per atom

abc: 12.3204 12.3204 6.8395
angles: 90.00 90.00 160.11
With the nearest neighbours (Å) after each atom.
Sites, in units of the cell vectors:
Tm  0.0245  0.9755  0.5000  5 Ge 2.87-3.11, 8 Pt 2.96-3.21
Tm  0.3255  0.6745  0.4535  7 Pt 2.92-3.03, 4 Ge 3.25
Tm  0.6745  0.3255  0.9535  7 Pt 2.92-3.03, 4 Ge 3.25
Tm  0.9755  0.0245  0.0000  5 Ge 2.87-3.11, 8 Pt 2.96-3.21
Ge  0.1215  0.8785  0.2603  6 Pt 2.53-2.79
Ge  0.2749  0.7251  0.9042  5 Pt 2.43-2.67
Ge  0.4523  0.5477  0.2903  5 Pt 2.51-2.70
Ge  0.5477  0.4523  0.7903  5 Pt 2.51-2.70
Ge  0.7251  0.2749  0.4042  5 Pt 2.43-2.67
Ge  0.8785  0.1215  0.7603  6 Pt 2.53-2.79
Pt  0.0938  0.9062  0.8942  3 Ge 2.51-2.59
Pt  0.1927  0.8073  0.6453  3 Ge 2.67-2.81, 5 Pt 2.89-2.96
Pt  0.2248  0.7752  0.2127  4 Ge 2.43-2.53
Pt  0.3768  0.6232  0.0009  4 Ge 2.56-2.70, 1 Pt 2.86
Pt  0.4484  0.5516  0.6683  4 Ge 2.55-2.79
Pt  0.5516  0.4484  0.1683  4 Ge 2.55-2.79
Pt  0.6232  0.3768  0.5009  4 Ge 2.56-2.70, 1 Pt 2.86
Pt  0.7752  0.2248  0.7127  4 Ge 2.43-2.53
Pt  0.8073  0.1927  0.1453  3 Ge 2.67-2.81, 5 Pt 2.89-2.96
Pt  0.9062  0.0938  0.3942  3 Ge 2.51-2.59